Model a:
Entry from the Alexandria database: crystalline Tb2SbO at its relaxed geometry (PBE).

Calculated values
volume: 21.07 Å³ per atom
total moment: 0.0 μB per cell

Lattice parameters (Å, degrees): 3.7315 3.7315 20.9696 90.00 90.00 120.00
Space group R-3m (No. 166, hexagonal axes)
One atom of each set of equivalent atoms:
Tb  0.0000  0.0000  0.2277 [6 per cell]
Sb  0.0000  0.0000  0.0000 [3 per cell]
O  0.0000  0.0000  0.5000 [3 per cell]


Model b:
Entry from the Alexandria database: crystalline Tb2SbO at its relaxed geometry (PBE).

Calculated values
volume: 22.16 Å³ per atom
total moment: 0.0 μB per cell

Lattice parameters (Å, degrees): 4.490 4.490 8.794 90.00 90.00 90.00
Space group P4/nmm (No. 129, origin choice 2)
One atom of each set of equivalent atoms:
Tb  0.250  0.250  0.158 [2 per cell]
Tb  0.250  0.750  0.500 [2 per cell]
Sb  0.250  0.250  0.799 [2 per cell]
O  0.250  0.250  0.425 [2 per cell]


Preferred: model b; penalty for the next structure: 340 meV per atom.


Model a:
Entry from the Alexandria database: crystalline TcSb3O at its relaxed geometry (PBE).

Calculated values
volume: 20.40 Å³ per atom
total moment: 2.1 μB per cell

Lattice parameters (Å, degrees): 4.673 4.673 4.673 90.00 90.00 90.00
Space group Pm-3m (No. 221)
One atom of each set of equivalent atoms:
Tc  0.000  0.000  0.000 [1 per cell]
Sb  0.000  0.500  0.500 [3 per cell]
O  0.500  0.500  0.500 [1 per cell]


Model b:
Entry from the Alexandria database: crystalline TcSb3O at its relaxed geometry (PBE).

Calculated values
volume: 26.11 Å³ per atom
total moment: 0.0 μB per cell

Lattice parameters (Å, degrees): 5.073 5.073 5.073 90.00 90.00 90.00
Space group Pm-3m (No. 221)
One atom of each set of equivalent atoms:
Tc  0.000  0.000  0.000 [1 per cell]
Sb  0.000  0.000  0.500 [3 per cell]
O  0.500  0.500  0.500 [1 per cell]


Preferred: model a; penalty for the next structure: 346 meV per atom.


Model a:
Entry from the Alexandria database: crystalline Tc2Sb2O at its relaxed geometry (PBE).

Calculated values
volume: 18.97 Å³ per atom
total moment: 1.3 μB per cell

Lattice parameters (Å, degrees): 5.507 5.507 6.257 90.00 90.00 90.00
Space group I4/mmm (No. 139)
One atom of each set of equivalent atoms:
Tc  0.000  0.000  0.183 [4 per cell]
Sb  0.000  0.500  0.250 [4 per cell]
O  0.000  0.000  0.500 [2 per cell]


Model b:
Entry from the Alexandria database: crystalline Tc2Sb2O at its relaxed geometry (PBE).

Calculated values
volume: 17.27 Å³ per atom
total moment: 0.0 μB per cell

Lattice parameters (Å, degrees): 7.169 7.169 3.361 90.00 90.00 90.00
Space group P4/mbm (No. 127)
One atom of each set of equivalent atoms:
Tc  0.145  0.355  0.000 [4 per cell]
Sb  0.154  0.654  0.500 [4 per cell]
O  0.000  0.000  0.000 [2 per cell]


Preferred: model a; penalty for the next structure: 243 meV per atom.


Model a:
Entry from the Alexandria database: crystalline Tc2SbO at its relaxed geometry (PBE).

Calculated values
volume: 14.69 Å³ per atom
total moment: 0.0 μB per cell

Lattice parameters (Å, degrees): 6.172 6.172 6.172 90.00 90.00 90.00
Space group Fm-3m (No. 225)
One atom of each set of equivalent atoms:
Tc  0.250  0.250  0.250 [8 per cell]
Sb  0.000  0.000  0.000 [4 per cell]
O  0.000  0.000  0.500 [4 per cell]


Model b:
Entry from the Alexandria database: crystalline Tc2SbO at its relaxed geometry (PBE).

Calculated values
volume: 17.80 Å³ per atom
total moment: 0.0 μB per cell

Lattice parameters (Å, degrees): 5.415 5.415 9.714 90.00 90.00 90.00
Space group I-42d (No. 122)
One atom of each set of equivalent atoms:
Tc  0.137  0.250  0.125 [8 per cell]
Sb  0.000  0.000  0.500 [4 per cell]
O  0.000  0.000  0.000 [4 per cell]


Preferred: model b; penalty for the next structure: 325 meV per atom.


Model a:
Entry from the Alexandria database: crystalline SbTeO at its relaxed geometry (PBE).

Calculated values
volume: 23.44 Å³ per atom
total moment: 0.0 μB per cell

Lattice parameters (Å, degrees): 3.309 4.404 9.794 88.54 80.34 89.96
Space group P-1 (No. 2)
One atom of each set of equivalent atoms:
Sb  0.185  0.305  0.133 [2 per cell]
Te  0.423  0.277  0.654 [2 per cell]
O  0.243  0.729  0.014 [2 per cell]


Model b:
Entry from the Alexandria database: crystalline SbTeO at its relaxed geometry (PBE).

Calculated values
volume: 25.81 Å³ per atom
total moment: 0.0 μB per cell

Lattice parameters (Å, degrees): 3.5596 3.5596 7.0549 90.00 90.00 120.00
Space group P3m1 (No. 156)
One atom of each set of equivalent atoms:
Sb  0.0000  0.0000  0.0000 [1 per cell]
Te  0.6667  0.3333  0.6436 [1 per cell]
O  0.3333  0.6667  0.1180 [1 per cell]


Preferred: model a; penalty for the next structure: 146 meV per atom.


Model a:
Entry from the Alexandria database: crystalline SbTeO2 at its relaxed geometry (PBE).

Calculated values
volume: 15.32 Å³ per atom
total moment: 0.0 μB per cell

Lattice parameters (Å, degrees): 6.258 6.258 6.258 90.00 90.00 90.00
Space group Fm-3m (No. 225)
One atom of each set of equivalent atoms:
Sb  0.000  0.000  0.000 [4 per cell]
Te  0.000  0.000  0.500 [4 per cell]
O  0.250  0.250  0.250 [8 per cell]


Model b:
Entry from the Alexandria database: crystalline SbTeO2 at its relaxed geometry (PBE).

Calculated values
volume: 17.27 Å³ per atom
total moment: 0.0 μB per cell

Lattice parameters (Å, degrees): 3.2489 3.2489 22.6737 90.00 90.00 120.00
Space group R-3m (No. 166, hexagonal axes)
One atom of each set of equivalent atoms:
Sb  0.0000  0.0000  0.0000 [3 per cell]
Te  0.0000  0.0000  0.5000 [3 per cell]
O  0.0000  0.0000  0.0946 [6 per cell]


Model c:
Entry from the Alexandria database: crystalline SbTeO2 at its relaxed geometry (PBE).

Calculated values
volume: 23.69 Å³ per atom
total moment: 4.0 μB per cell

Lattice parameters (Å, degrees): 6.443 6.443 9.130 90.00 90.00 90.00
Space group I-42d (No. 122)
One atom of each set of equivalent atoms:
Sb  0.000  0.000  0.000 [4 per cell]
Te  0.000  0.000  0.500 [4 per cell]
O  0.002  0.250  0.125 [8 per cell]


Model d:
Entry from the Alexandria database: crystalline SbTeO2 at its relaxed geometry (PBE).

Calculated values
volume: 18.47 Å³ per atom
total moment: 0.0 μB per cell

Lattice parameters (Å, degrees): 3.5706 3.5706 20.0745 90.00 90.00 120.00
Space group R-3m (No. 166, hexagonal axes)
One atom of each set of equivalent atoms:
Sb  0.0000  0.0000  0.0000 [3 per cell]
Te  0.0000  0.0000  0.5000 [3 per cell]
O  0.0000  0.0000  0.3889 [6 per cell]


Preferred: model d; penalty for the next structure: 250 meV per atom.


Model a:
Entry from the Alexandria database: crystalline SbTe2O at its relaxed geometry (PBE).

Calculated values
volume: 22.49 Å³ per atom
total moment: 0.0 μB per cell

Lattice parameters (Å, degrees): 3.2650 3.2650 29.2381 90.00 90.00 120.00
Space group R-3m (No. 166, hexagonal axes)
One atom of each set of equivalent atoms:
Sb  0.0000  0.0000  0.0000 [3 per cell]
Te  0.0000  0.0000  0.1053 [6 per cell]
O  0.0000  0.0000  0.5000 [3 per cell]


Model b:
Entry from the Alexandria database: crystalline SbTe2O at its relaxed geometry (PBE).

Calculated values
volume: 29.85 Å³ per atom
total moment: 0.0 μB per cell

Lattice parameters (Å, degrees): 4.1452 4.1452 24.0706 90.00 90.00 120.00
Space group R-3m (No. 166, hexagonal axes)
One atom of each set of equivalent atoms:
Sb  0.0000  0.0000  0.0000 [3 per cell]
Te  0.0000  0.0000  0.4155 [6 per cell]
O  0.0000  0.0000  0.5000 [3 per cell]


Model c:
Entry from the Alexandria database: crystalline SbTe2O at its relaxed geometry (PBE).

Calculated values
volume: 28.45 Å³ per atom
total moment: 0.0 μB per cell

Lattice parameters (Å, degrees): 5.700 5.700 14.015 90.00 90.00 90.00
Space group I-42d (No. 122)
One atom of each set of equivalent atoms:
Sb  0.000  0.000  0.000 [4 per cell]
Te  0.113  0.250  0.625 [8 per cell]
O  0.000  0.000  0.500 [4 per cell]


Preferred: model b; penalty for the next structure: 138 meV per atom.


Model a:
Entry from the Alexandria database: crystalline TiSb2TeO at its relaxed geometry (PBE).

Calculated values
volume: 27.27 Å³ per atom
total moment: 0.0 μB per cell

Lattice parameters (Å, degrees): 5.177 5.177 5.086 90.00 90.00 90.00
Space group P4/mmm (No. 123)
One atom of each set of equivalent atoms:
Ti  0.000  0.000  0.000 [1 per cell]
Sb  0.000  0.500  0.000 [2 per cell]
Te  0.000  0.000  0.500 [1 per cell]
O  0.500  0.500  0.500 [1 per cell]


Model b:
Entry from the Alexandria database: crystalline TiSb2TeO at its relaxed geometry (PBE).

Calculated values
volume: 21.23 Å³ per atom
total moment: 0.0 μB per cell

Lattice parameters (Å, degrees): 4.656 4.656 4.898 90.00 90.00 90.00
Space group P4/mmm (No. 123)
One atom of each set of equivalent atoms:
Ti  0.000  0.000  0.000 [1 per cell]
Sb  0.000  0.500  0.500 [2 per cell]
Te  0.500  0.500  0.000 [1 per cell]
O  0.500  0.500  0.500 [1 per cell]


Preferred: model b; penalty for the next structure: 465 meV per atom.


Model a:
Entry from the Alexandria database: crystalline TlSb2TeO at its relaxed geometry (PBE).

Calculated values
volume: 24.93 Å³ per atom
total moment: 0.0 μB per cell

Lattice parameters (Å, degrees): 4.752 4.752 5.519 90.00 90.00 90.00
Space group P4/mmm (No. 123)
One atom of each set of equivalent atoms:
Tl  0.000  0.000  0.000 [1 per cell]
Sb  0.000  0.500  0.500 [2 per cell]
Te  0.500  0.500  0.000 [1 per cell]
O  0.500  0.500  0.500 [1 per cell]


Model b:
Entry from the Alexandria database: crystalline TlSb2TeO at its relaxed geometry (PBE).

Calculated values
volume: 37.15 Å³ per atom
total moment: 0.0 μB per cell

Lattice parameters (Å, degrees): 5.723 5.723 5.672 90.00 90.00 90.00
Space group P4/mmm (No. 123)
One atom of each set of equivalent atoms:
Tl  0.000  0.000  0.000 [1 per cell]
Sb  0.000  0.500  0.000 [2 per cell]
Te  0.000  0.000  0.500 [1 per cell]
O  0.500  0.500  0.500 [1 per cell]


Preferred: model a; penalty for the next structure: 1371 meV per atom.


Model a:
Entry from the Alexandria database: crystalline YSb2TeO at its relaxed geometry (PBE).

Calculated values
volume: 38.10 Å³ per atom
total moment: 0.0 μB per cell

Lattice parameters (Å, degrees): 5.803 5.803 5.657 90.00 90.00 90.00
Space group P4/mmm (No. 123)
One atom of each set of equivalent atoms:
Y  0.000  0.000  0.000 [1 per cell]
Sb  0.000  0.500  0.000 [2 per cell]
Te  0.000  0.000  0.500 [1 per cell]
O  0.500  0.500  0.500 [1 per cell]


Model b:
Entry from the Alexandria database: crystalline YSb2TeO at its relaxed geometry (PBE).

Calculated values
volume: 22.86 Å³ per atom
total moment: 0.0 μB per cell

Lattice parameters (Å, degrees): 4.815 4.815 4.929 90.00 90.00 90.00
Space group P4/mmm (No. 123)
One atom of each set of equivalent atoms:
Y  0.000  0.000  0.000 [1 per cell]
Sb  0.000  0.500  0.500 [2 per cell]
Te  0.500  0.500  0.000 [1 per cell]
O  0.500  0.500  0.500 [1 per cell]


Preferred: model b; penalty for the next structure: 1315 meV per atom.


Model a:
Entry from the Alexandria database: crystalline ZnSbTe2O at its relaxed geometry (PBE).

Calculated values
volume: 22.71 Å³ per atom
total moment: 0.0 μB per cell

Lattice parameters (Å, degrees): 4.842 4.842 4.843 90.00 90.00 90.00
Space group P4/mmm (No. 123)
One atom of each set of equivalent atoms:
Zn  0.000  0.000  0.000 [1 per cell]
Sb  0.500  0.500  0.000 [1 per cell]
Te  0.000  0.500  0.500 [2 per cell]
O  0.500  0.500  0.500 [1 per cell]


Model b:
Entry from the Alexandria database: crystalline ZnSbTe2O at its relaxed geometry (PBE).

Calculated values
volume: 28.06 Å³ per atom
total moment: 0.0 μB per cell

Lattice parameters (Å, degrees): 5.169 5.169 5.250 90.00 90.00 90.00
Space group P4/mmm (No. 123)
One atom of each set of equivalent atoms:
Zn  0.000  0.000  0.000 [1 per cell]
Sb  0.000  0.000  0.500 [1 per cell]
Te  0.000  0.500  0.000 [2 per cell]
O  0.500  0.500  0.500 [1 per cell]


Preferred: model a; penalty for the next structure: 735 meV per atom.


Model a:
Entry from the Alexandria database: crystalline Ti3SbO at its relaxed geometry (PBE).

Calculated values
volume: 16.97 Å³ per atom
total moment: 0.0 μB per cell

Lattice parameters (Å, degrees): 13.267 3.741 7.167 90.00 107.46 90.00
Space group C2/m (No. 12)
One atom of each set of equivalent atoms:
Ti  0.043  0.000  0.348 [4 per cell]
Ti  0.170  0.000  0.939 [4 per cell]
Ti  0.177  0.500  0.624 [4 per cell]
Sb  0.145  0.500  0.204 [4 per cell]
O  0.107  0.000  0.643 [4 per cell]


Model b:
Entry from the Alexandria database: crystalline Ti3SbO at its relaxed geometry (PBE).

Calculated values
volume: 15.10 Å³ per atom
total moment: 0.0 μB per cell

Lattice parameters (Å, degrees): 5.773 12.463 4.198 90.00 90.00 90.00
Space group Cmmm (No. 65)
One atom of each set of equivalent atoms:
Ti  0.000  0.132  0.000 [4 per cell]
Ti  0.235  0.000  0.500 [4 per cell]
Ti  0.250  0.250  0.500 [4 per cell]
Sb  0.000  0.368  0.000 [4 per cell]
O  0.000  0.125  0.500 [4 per cell]


Model c:
Entry from the Alexandria database: crystalline Ti3SbO at its relaxed geometry (PBE).

Calculated values
volume: 27.16 Å³ per atom
total moment: 6.5 μB per cell

Lattice parameters (Å, degrees): 5.140 5.140 5.140 90.00 90.00 90.00
Space group Pm-3m (No. 221)
One atom of each set of equivalent atoms:
Ti  0.000  0.000  0.500 [3 per cell]
Sb  0.000  0.000  0.000 [1 per cell]
O  0.500  0.500  0.500 [1 per cell]


Preferred: model b; penalty for the next structure: 77 meV per atom.